[1]
# Sm5HoTm2Sc GGA-PBE relaxed
data_Sm5HoTm2Sc
_chemical_formula_sum 'Sm20 Ho4 Tm8 Sc4'
_cell_length_a 5.3075
_cell_length_b 21.6733
_cell_length_c 10.1368
_cell_angle_alpha 90.00
_cell_angle_beta 90.00
_cell_angle_gamma 90.00
_space_group_name_H-M_alt 'C m c m'
_space_group_IT_number 63
_space_group_name_Hall '-C 2c 2'
loop_
_atom_site_label
_atom_site_fract_x
_atom_site_fract_y
_atom_site_fract_z
Sm1 0.0000 0.0000 0.0000
Sm2 0.0000 0.1259 0.2500
Sm3 0.0000 0.2207 0.5622
Sm4 0.0000 0.4987 0.7500
Ho1 0.0000 0.1006 0.7500
Tm1 0.0000 0.3842 0.0016
Sc1 0.0000 0.2850 0.2500
# DFT formation energy = 0.13 eV/atom


[2]
# La3Pm4Er2 GGA-PBE relaxed
data_La3Pm4Er2
_chemical_formula_sum 'La6 Pm8 Er4'
_cell_length_a 11.7634
_cell_length_b 5.8458
_cell_length_c 9.2691
_cell_angle_alpha 90.00
_cell_angle_beta 102.04
_cell_angle_gamma 90.00
_space_group_name_H-M_alt 'C 1 2/m 1'
_space_group_IT_number 12
loop_
_space_group_symop_operation_xyz
'x,y,z'
'-x,-y,-z'
'-x,y,-z'
'x,-y,z'
'x+1/2,y+1/2,z'
'-x+1/2,-y+1/2,-z'
'-x+1/2,y+1/2,-z'
'x+1/2,-y+1/2,z'
loop_
_atom_site_label
_atom_site_fract_x
_atom_site_fract_y
_atom_site_fract_z
La1 0.0000 0.0000 0.0000
La2 0.1204 0.0000 0.6856
Pm1 0.1793 0.5000 0.9596
Pm2 0.2279 0.0000 0.3727
Er1 0.0620 0.5000 0.3050
# DFT formation energy = 0.10 eV/atom